Run A
Material: Tb2Nd5Er2
Method: DFT, PBE-GGA
State: optimized geometry

a b c (Å): 8.0952 8.0952 8.0816
angles (deg): 107.62 107.62 36.86
Last column: nearest neighbours and their distance in Å.
Fractional coordinates of all 9 atoms:
Tb  0.1091  0.1091  0.1649  1 Tb 3.56, 4 Er 3.59, 7 Nd 3.61-3.64
Tb  0.8909  0.8909  0.8351  1 Tb 3.56, 4 Er 3.59, 7 Nd 3.61-3.64
Nd  0.0000  0.0000  0.5000  2 Tb 3.61, 6 Nd 3.61-3.62, 4 Er 3.63
Nd  0.2224  0.2224  0.8357  6 Nd 3.59-3.65, 3 Er 3.60-3.63, 3 Tb 3.61-3.64
Nd  0.3339  0.3339  0.4990  7 Nd 3.61-3.65, 2 Er 3.61-3.64, 3 Tb 3.63-3.64
Nd  0.6661  0.6661  0.5010  7 Nd 3.61-3.65, 2 Er 3.61-3.64, 3 Tb 3.63-3.64
Nd  0.7776  0.7776  0.1643  6 Nd 3.59-3.65, 3 Er 3.60-3.63, 3 Tb 3.61-3.64
Er  0.4453  0.4453  0.1630  1 Er 3.55, 4 Tb 3.59, 7 Nd 3.60-3.64
Er  0.5547  0.5547  0.8370  1 Er 3.55, 4 Tb 3.59, 7 Nd 3.60-3.64

The total magnetic moment comes out at 0.0 μB per cell. Its crystal system is monoclinic.

=====

Run B
Material: Tb2Nd5Er2
Method: DFT, PBE-GGA
State: optimized geometry

a b c (Å): 10.4383 10.4383 10.4383
angles (deg): 86.76 103.55 145.31
Last column: nearest neighbours and their distance in Å.
Fractional coordinates of all 18 atoms:
Tb  0.0000  0.0000  0.0000  2 Nd 3.26, 2 Er 3.47
Tb  0.0000  0.5000  0.5000  2 Nd 3.26, 2 Er 3.47
Tb  0.0760  0.8824  0.6936  5 Nd 3.34-3.62, 2 Er 3.48
Tb  0.1888  0.3824  0.3064  5 Nd 3.34-3.62, 2 Er 3.48
Nd  0.2143  0.3648  0.7528  5 Nd 3.38-3.62, 2 Er 3.52-3.60, 1 Tb 3.71
Nd  0.2143  0.9616  0.3496  5 Nd 3.38-3.62, 2 Er 3.52-3.60, 1 Tb 3.71
Nd  0.2540  0.7130  0.8288  4 Nd 3.22-3.54, 2 Tb 3.26-3.53, 3 Er 3.43-3.60
Nd  0.2540  0.9252  0.0410  4 Nd 3.22-3.54, 2 Tb 3.26-3.53, 3 Er 3.43-3.60
Nd  0.4812  0.4074  0.5738  3 Tb 3.34-3.62, 4 Nd 3.43-3.65, 2 Er 3.44
Nd  0.6120  0.4616  0.2472  5 Nd 3.38-3.62, 2 Er 3.52-3.60, 1 Tb 3.71
Nd  0.6120  0.8648  0.6504  5 Nd 3.38-3.62, 2 Er 3.52-3.60, 1 Tb 3.71
Nd  0.8336  0.9074  0.4262  3 Tb 3.34-3.62, 4 Nd 3.43-3.65, 2 Er 3.44
Nd  0.8841  0.2130  0.9590  4 Nd 3.22-3.54, 2 Tb 3.26-3.53, 3 Er 3.43-3.60
Nd  0.8841  0.4252  0.1712  4 Nd 3.22-3.54, 2 Tb 3.26-3.53, 3 Er 3.43-3.60
Er  0.5144  0.6998  0.0859  6 Nd 3.43-3.60, 2 Tb 3.47-3.48, 1 Er 3.47
Er  0.5144  0.9286  0.3146  6 Nd 3.43-3.60, 2 Tb 3.47-3.48, 1 Er 3.47
Er  0.6140  0.1998  0.6854  6 Nd 3.43-3.60, 2 Tb 3.47-3.48, 1 Er 3.47
Er  0.6140  0.4286  0.9141  6 Nd 3.43-3.60, 2 Tb 3.47-3.48, 1 Er 3.47

The total magnetic moment comes out at 0.0 μB per cell. Its crystal system is orthorhombic.

=====

Of them, run A has the highest stability.